Entry 1:
# Pt2Br3F4, optimized geometry, DFT GGA-PBE
# calculated volume	24.01	A^3/atom
# uncorrected formation energy	-0.68	eV/atom
data_Pt2Br3F4
_chemical_formula_sum 'Pt4 Br6 F8'
_space_group_name_H-M_alt 'P 1'
_space_group_IT_number 1
_cell_length_a 9.5659
_cell_length_b 9.5659
_cell_length_c 5.8351
_cell_angle_alpha 97.80
_cell_angle_beta 97.80
_cell_angle_gamma 122.48
loop_
_space_group_symop_operation_xyz
'x,y,z'
loop_
_atom_site_label
_atom_site_type_symbol
_atom_site_fract_x
_atom_site_fract_y
_atom_site_fract_z
_atom_site_occupancy
Pt1 Pt 0.0167 0.3437 0.0074 1
Pt2 Pt 0.3437 0.0167 0.5074 1
Pt3 Pt 0.6563 0.9833 0.4926 1
Pt4 Pt 0.9833 0.6563 0.9926 1
Br1 Br 0.0763 0.9237 0.2500 1
Br2 Br 0.3027 0.5351 0.8928 1
Br3 Br 0.4649 0.6973 0.6072 1
Br4 Br 0.5351 0.3027 0.3928 1
Br5 Br 0.6973 0.4649 0.1072 1
Br6 Br 0.9237 0.0763 0.7500 1
F1 F 0.0801 0.5714 0.2346 1
F2 F 0.0995 0.2785 0.2661 1
F3 F 0.2785 0.0995 0.7661 1
F4 F 0.4286 0.9199 0.2654 1
F5 F 0.5714 0.0801 0.7346 1
F6 F 0.7215 0.9005 0.2339 1
F7 F 0.9005 0.7215 0.7339 1
F8 F 0.9199 0.4286 0.7654 1



Entry 2:
# Cs3NdTl2I9, optimized geometry, DFT GGA-PBE
# calculated volume	53.01	A^3/atom
# uncorrected formation energy	-1.15	eV/atom
data_Cs3NdTl2I9
_chemical_formula_sum 'Cs3 Nd1 Tl2 I9'
_space_group_name_H-M_alt 'P 1'
_space_group_IT_number 1
_cell_length_a 9.0854
_cell_length_b 9.0854
_cell_length_c 11.1227
_cell_angle_alpha 90.00
_cell_angle_beta 90.00
_cell_angle_gamma 120.00
loop_
_space_group_symop_operation_xyz
'x,y,z'
loop_
_atom_site_label
_atom_site_type_symbol
_atom_site_fract_x
_atom_site_fract_y
_atom_site_fract_z
_atom_site_occupancy
Cs1 Cs 0.0000 0.0000 0.0000 1
Cs2 Cs 0.3333 0.6667 0.6697 1
Cs3 Cs 0.6667 0.3333 0.3303 1
Nd1 Nd 0.0000 0.0000 0.5000 1
Tl1 Tl 0.3333 0.6667 0.1532 1
Tl2 Tl 0.6667 0.3333 0.8468 1
I1 I 0.0000 0.5000 0.0000 1
I2 I 0.1629 0.3259 0.3412 1
I3 I 0.1629 0.8371 0.3412 1
I4 I 0.3259 0.1629 0.6588 1
I5 I 0.5000 0.0000 0.0000 1
I6 I 0.5000 0.5000 0.0000 1
I7 I 0.6741 0.8371 0.3412 1
I8 I 0.8371 0.1629 0.6588 1
I9 I 0.8371 0.6741 0.6588 1



Entry 3:
# Pr3InTe, optimized geometry, DFT GGA-PBE
# calculated volume	33.21	A^3/atom
# uncorrected formation energy	-0.73	eV/atom
data_Pr3InTe
_chemical_formula_sum 'Pr12 In4 Te4'
_space_group_name_H-M_alt 'P 1'
_space_group_IT_number 1
_cell_length_a 8.1294
_cell_length_b 4.7920
_cell_length_c 17.0485
_cell_angle_alpha 90.00
_cell_angle_beta 90.00
_cell_angle_gamma 90.00
loop_
_space_group_symop_operation_xyz
'x,y,z'
loop_
_atom_site_label
_atom_site_type_symbol
_atom_site_fract_x
_atom_site_fract_y
_atom_site_fract_z
_atom_site_occupancy
Pr1 Pr 0.0034 0.2500 0.1145 1
Pr2 Pr 0.1270 0.2500 0.5536 1
Pr3 Pr 0.1984 0.7500 0.2637 1
Pr4 Pr 0.3016 0.2500 0.7637 1
Pr5 Pr 0.3730 0.7500 0.0536 1
Pr6 Pr 0.4966 0.7500 0.6145 1
Pr7 Pr 0.5034 0.2500 0.3855 1
Pr8 Pr 0.6270 0.2500 0.9464 1
Pr9 Pr 0.6984 0.7500 0.2363 1
Pr10 Pr 0.8016 0.2500 0.7363 1
Pr11 Pr 0.8730 0.7500 0.4464 1
Pr12 Pr 0.9966 0.7500 0.8855 1
In1 In 0.0756 0.7500 0.6873 1
In2 In 0.4244 0.2500 0.1873 1
In3 In 0.5756 0.7500 0.8127 1
In4 In 0.9244 0.2500 0.3127 1
Te1 Te 0.2113 0.2500 0.9529 1
Te2 Te 0.2887 0.7500 0.4529 1
Te3 Te 0.7113 0.2500 0.5471 1
Te4 Te 0.7887 0.7500 0.0471 1